This record from the Alexandria database describes a geometry-optimized NaAsH2Rh2 structure. The functional is PBE-GGA. Values from VASP.

Properties
Total DFT energy (no corrections) (eV per atom): -4.8328
SG: P2_1/m (11)

Cell and atoms, written as Quantum ESPRESSO input:
```
&SYSTEM
  ibrav = 0, nat = 12, ntyp = 4
/
ATOMIC_SPECIES
Na 22.99 Na.upf
Rh 102.91 Rh.upf
H 1.01 H.upf
As 74.92 As.upf
CELL_PARAMETERS angstrom
5.6338 0.0000 0.0000
0.0000 5.9911 -0.5065
0.0000 -2.8693 5.2894
ATOMIC_POSITIONS angstrom
Na 4.2254 -0.6868 3.8622
Na 1.4085 3.8085 0.9207
Rh 5.6336 2.3063 3.5246
Rh 2.8171 2.3063 3.5246
H 4.2254 1.8117 1.0027
Rh 2.8167 0.8155 1.2583
H 1.4085 1.3101 3.7802
H 1.4085 0.1859 2.0726
Rh 0.0002 0.8155 1.2583
As 1.4085 -1.7972 4.5942
H 4.2254 2.9359 2.7103
As 4.2254 4.9190 0.1887
```